# Ta2CdRh

A geometry-optimized Ta2CdRh structure (PBE, Alexandria via LeMat-Bulk).

Calculated values
DFT formation energy = -93 meV per atom
calculated volume = 17.9 Å³ per atom

The structure in CIF format:
```
data_Ta2CdRh
_chemical_formula_sum 'Ta2 Cd1 Rh1'
_symmetry_space_group_name_H-M 'P 4 m m'
_symmetry_Int_Tables_number 99
_symmetry_space_group_name_Hall 'P 4 -2'
_cell_length_a 2.9510
_cell_length_b 2.9510
_cell_length_c 8.2086
_cell_angle_alpha 90.00
_cell_angle_beta 90.00
_cell_angle_gamma 90.00
loop_
_atom_site_label
_atom_site_type_symbol
_atom_site_fract_x
_atom_site_fract_y
_atom_site_fract_z
Ta1 Ta 0.0000 0.0000 0.0000
Ta2 Ta 0.5000 0.5000 0.2663
Cd1 Cd 0.0000 0.0000 0.5480
Rh1 Rh 0.5000 0.5000 0.7971
```

=====

# YFeAg

A geometry-optimized YFeAg structure (PBE, Alexandria via LeMat-Bulk).

Calculated values
DFT formation energy = 429 meV per atom
calculated volume = 20.4 Å³ per atom

The structure in CIF format:
```
data_YFeAg
_chemical_formula_sum 'Y1 Fe1 Ag1'
_symmetry_space_group_name_H-M 'P 3 m 1'
_symmetry_Int_Tables_number 156
_symmetry_space_group_name_Hall 'P 3 -2"'
_cell_length_a 3.2029
_cell_length_b 3.2029
_cell_length_c 6.9041
_cell_angle_alpha 90.00
_cell_angle_beta 90.00
_cell_angle_gamma 120.00
loop_
_atom_site_label
_atom_site_type_symbol
_atom_site_fract_x
_atom_site_fract_y
_atom_site_fract_z
Y1 Y 0.0000 0.0000 0.0000
Fe1 Fe 0.3333 0.6667 0.6734
Ag1 Ag 0.6667 0.3333 0.3768
```

=====

# Ni2SbOs

A geometry-optimized Ni2SbOs structure (PBE, Alexandria via LeMat-Bulk).

Calculated values
calculated volume = 14.3 Å³ per atom
uncorrected formation energy = 0.25 eV per atom

The structure in CIF format:
```
data_Ni2SbOs
_chemical_formula_sum 'Ni4 Sb2 Os2'
_symmetry_space_group_name_H-M 'C 1 m 1'
_symmetry_Int_Tables_number 8
_symmetry_space_group_name_Hall 'C -2y'
_cell_length_a 8.5166
_cell_length_b 3.0677
_cell_length_c 4.4945
_cell_angle_alpha 90.00
_cell_angle_beta 103.41
_cell_angle_gamma 90.00
loop_
_atom_site_label
_atom_site_type_symbol
_atom_site_fract_x
_atom_site_fract_y
_atom_site_fract_z
Ni1 Ni 0.0000 0.0000 0.0000
Ni2 Ni 0.2429 0.5000 0.2052
Sb1 Sb 0.4968 0.0000 0.4691
Os1 Os 0.2523 0.0000 0.7459
```

=====

# CuNi2Ru

A geometry-optimized CuNi2Ru structure (PBE, Alexandria via LeMat-Bulk).

Calculated values
DFT formation energy = 250 meV per atom
excess energy over the best structure of this formula in the dataset = 0.164 eV per atom
calculated volume = 12.3 Å³ per atom

The structure in CIF format:
```
data_CuNi2Ru
_chemical_formula_sum 'Cu2 Ni4 Ru2'
_symmetry_space_group_name_H-M 'C m m 2'
_symmetry_Int_Tables_number 35
_symmetry_space_group_name_Hall 'C 2 -2'
_cell_length_a 2.6676
_cell_length_b 4.3165
_cell_length_c 8.5435
_cell_angle_alpha 90.00
_cell_angle_beta 90.00
_cell_angle_gamma 90.00
loop_
_atom_site_label
_atom_site_type_symbol
_atom_site_fract_x
_atom_site_fract_y
_atom_site_fract_z
Cu1 Cu 0.0000 0.0000 0.0000
Ni1 Ni 0.0000 0.0000 0.5199
Ni2 Ni 0.0000 0.5000 0.7573
Ru1 Ru 0.0000 0.5000 0.2672
```

=====

# Ba2MgI

A geometry-optimized Ba2MgI structure (PBE, Alexandria via LeMat-Bulk).

Calculated values
excess energy over the best structure of this formula in the dataset = 0.199 eV per atom
calculated volume = 51.5 Å³ per atom
uncorrected formation energy = -0.42 eV per atom

The structure in CIF format:
```
data_Ba2MgI
_chemical_formula_sum 'Ba8 Mg4 I4'
_symmetry_space_group_name_H-M 'I -4 2 d'
_symmetry_Int_Tables_number 122
_symmetry_space_group_name_Hall 'I -4 2bw'
_cell_length_a 9.4517
_cell_length_b 9.4517
_cell_length_c 9.2165
_cell_angle_alpha 90.00
_cell_angle_beta 90.00
_cell_angle_gamma 90.00
loop_
_atom_site_label
_atom_site_type_symbol
_atom_site_fract_x
_atom_site_fract_y
_atom_site_fract_z
Ba1 Ba 0.2422 0.2500 0.1250
Mg1 Mg 0.0000 0.0000 0.5000
I1 I 0.0000 0.0000 0.0000
```

=====

# NiAg3Mo

A geometry-optimized NiAg3Mo structure (PBE, Alexandria via LeMat-Bulk).

Calculated values
DFT formation energy = 1271 meV per atom
excess energy over the best structure of this formula in the dataset = 0.000 eV per atom
calculated volume = 21.1 Å³ per atom

The structure in CIF format:
```
data_NiAg3Mo
_chemical_formula_sum 'Ni1 Ag3 Mo1'
_symmetry_space_group_name_H-M 'P m -3 m'
_symmetry_Int_Tables_number 221
_symmetry_space_group_name_Hall '-P 4 2 3'
_cell_length_a 4.7280
_cell_length_b 4.7280
_cell_length_c 4.7280
_cell_angle_alpha 90.00
_cell_angle_beta 90.00
_cell_angle_gamma 90.00
loop_
_atom_site_label
_atom_site_type_symbol
_atom_site_fract_x
_atom_site_fract_y
_atom_site_fract_z
Ni1 Ni 0.0000 0.0000 0.0000
Ag1 Ag 0.0000 0.0000 0.5000
Mo1 Mo 0.5000 0.5000 0.5000
```

=====

# Mg2InCu

A geometry-optimized Mg2InCu structure (PBE, Alexandria via LeMat-Bulk).

Calculated values
DFT formation energy = 44 meV per atom
calculated volume = 20.6 Å³ per atom

The structure in CIF format:
```
data_Mg2InCu
_chemical_formula_sum 'Mg6 In3 Cu3'
_symmetry_space_group_name_H-M 'R 3 m'
_symmetry_Int_Tables_number 160
_symmetry_space_group_name_Hall 'R 3 -2"'
_cell_length_a 3.1985
_cell_length_b 3.1985
_cell_length_c 27.8987
_cell_angle_alpha 90.00
_cell_angle_beta 90.00
_cell_angle_gamma 120.00
loop_
_atom_site_label
_atom_site_type_symbol
_atom_site_fract_x
_atom_site_fract_y
_atom_site_fract_z
Mg1 Mg 0.0000 0.0000 0.0000
Mg2 Mg 0.0000 0.0000 0.2371
In1 In 0.0000 0.0000 0.4796
Cu1 Cu 0.0000 0.0000 0.7383
```

=====

# MnTl2Au

A geometry-optimized MnTl2Au structure (PBE, Alexandria via LeMat-Bulk).

Calculated values
DFT formation energy = 325 meV per atom
excess energy over the best structure of this formula in the dataset = 0.184 eV per atom
calculated volume = 22.7 Å³ per atom

The structure in CIF format:
```
data_MnTl2Au
_chemical_formula_sum 'Mn4 Tl8 Au4'
_symmetry_space_group_name_H-M 'F -4 3 m'
_symmetry_Int_Tables_number 216
_symmetry_space_group_name_Hall 'F -4 2 3'
_cell_length_a 7.1394
_cell_length_b 7.1394
_cell_length_c 7.1394
_cell_angle_alpha 90.00
_cell_angle_beta 90.00
_cell_angle_gamma 90.00
loop_
_atom_site_label
_atom_site_type_symbol
_atom_site_fract_x
_atom_site_fract_y
_atom_site_fract_z
Mn1 Mn 0.0000 0.0000 0.0000
Tl1 Tl 0.0000 0.0000 0.5000
Tl2 Tl 0.2500 0.2500 0.7500
Au1 Au 0.2500 0.2500 0.2500
```

=====

# BaGePt

A geometry-optimized BaGePt structure (PBE, Alexandria via LeMat-Bulk).

Calculated values
DFT formation energy = -906 meV per atom
calculated volume = 26.8 Å³ per atom

The structure in CIF format:
```
data_BaGePt
_chemical_formula_sum 'Ba4 Ge4 Pt4'
_symmetry_space_group_name_H-M 'P 21 3'
_symmetry_Int_Tables_number 198
_symmetry_space_group_name_Hall 'P 2ac 2ab 3'
_cell_length_a 6.8486
_cell_length_b 6.8486
_cell_length_c 6.8486
_cell_angle_alpha 90.00
_cell_angle_beta 90.00
_cell_angle_gamma 90.00
loop_
_atom_site_label
_atom_site_type_symbol
_atom_site_fract_x
_atom_site_fract_y
_atom_site_fract_z
Ba1 Ba 0.1358 0.1358 0.1358
Ge1 Ge 0.1581 0.3419 0.6581
Pt1 Pt 0.0901 0.5901 0.9099
```

=====

# Sc3U2Se6

A geometry-optimized Sc3U2Se6 structure (PBE, Alexandria via LeMat-Bulk).

Calculated values
calculated volume = 24.0 Å³ per atom
uncorrected formation energy = -1.36 eV per atom

The structure in CIF format:
```
data_Sc3U2Se6
_chemical_formula_sum 'Sc9 U6 Se18'
_symmetry_space_group_name_H-M 'R -3 m'
_symmetry_Int_Tables_number 166
_symmetry_space_group_name_Hall '-R 3 2"'
_cell_length_a 3.9436
_cell_length_b 3.9436
_cell_length_c 58.8925
_cell_angle_alpha 90.00
_cell_angle_beta 90.00
_cell_angle_gamma 120.00
loop_
_atom_site_label
_atom_site_type_symbol
_atom_site_fract_x
_atom_site_fract_y
_atom_site_fract_z
Sc1 Sc 0.0000 0.0000 0.0000
Sc2 Sc 0.0000 0.0000 0.2797
U1 U 0.0000 0.0000 0.4426
Se1 Se 0.0000 0.0000 0.0787
Se2 Se 0.0000 0.0000 0.1962
Se3 Se 0.0000 0.0000 0.3597
```

=====

# Er7Te3C2

A geometry-optimized Er7Te3C2 structure (PBE, Alexandria via LeMat-Bulk).

Calculated values
calculated volume = 23.6 Å³ per atom
uncorrected formation energy = -0.61 eV per atom

The structure in CIF format:
```
data_Er7Te3C2
_chemical_formula_sum 'Er14 Te6 C4'
_symmetry_space_group_name_H-M 'C m m m'
_symmetry_Int_Tables_number 65
_symmetry_space_group_name_Hall '-C 2 2'
_cell_length_a 4.8396
_cell_length_b 24.4182
_cell_length_c 4.7980
_cell_angle_alpha 90.00
_cell_angle_beta 90.00
_cell_angle_gamma 90.00
loop_
_atom_site_label
_atom_site_type_symbol
_atom_site_fract_x
_atom_site_fract_y
_atom_site_fract_z
Er1 Er 0.0000 0.0000 0.0000
Er2 Er 0.0000 0.0964 0.5000
Er3 Er 0.0000 0.1969 0.0000
Er4 Er 0.0000 0.4041 0.0000
Te1 Te 0.0000 0.3133 0.5000
Te2 Te 0.0000 0.5000 0.5000
C1 C 0.0000 0.1008 0.0000
```

=====

# LaInBiIr2

A geometry-optimized LaInBiIr2 structure (PBE, Alexandria via LeMat-Bulk).

Calculated values
DFT formation energy = 1270 meV per atom
calculated volume = 31.6 Å³ per atom

The structure in CIF format:
```
data_LaInBiIr2
_chemical_formula_sum 'La1 In1 Bi1 Ir2'
_symmetry_space_group_name_H-M 'P 4/m m m'
_symmetry_Int_Tables_number 123
_symmetry_space_group_name_Hall '-P 4 2'
_cell_length_a 4.9594
_cell_length_b 4.9594
_cell_length_c 6.4150
_cell_angle_alpha 90.00
_cell_angle_beta 90.00
_cell_angle_gamma 90.00
loop_
_atom_site_label
_atom_site_type_symbol
_atom_site_fract_x
_atom_site_fract_y
_atom_site_fract_z
La1 La 0.0000 0.0000 0.0000
In1 In 0.5000 0.5000 0.5000
Bi1 Bi 0.0000 0.0000 0.5000
Ir1 Ir 0.0000 0.5000 0.0000
```

=====

| no. | electronic total energy (eV/atom) |
| --- | --- |
| 1 | -8.086 |
| 2 | -5.497 |
| 3 | -6.477 |
| 4 | -5.984 |
| 5 | -2.170 |
| 6 | -3.762 |
| 7 | -2.462 |
| 8 | -3.969 |
| 9 | -5.100 |
| 10 | -7.041 |
| 11 | -5.597 |
| 12 | -4.584 |